## MnPNO2 (PBE with a Hubbard U)

Data for crystalline MnPNO2 at its relaxed geometry.

Cell lengths 3.5141, 3.5141, 5.4300 Å; angles 90.00, 90.00, 90.00 degrees
With the nearest neighbours (Å) after each atom.
Space group P4/mmm (No. 123)
Asymmetric unit:
Mn: 0.0000 0.0000 0.0000 [1 per cell]  4 O 1.76
P: 0.0000 0.0000 0.5000 [1 per cell]  4 N 2.48, 2 Mn 2.72
N: 0.5000 0.5000 0.5000 [1 per cell]  4 P 2.48
O: 0.0000 0.5000 0.0000 [2 per cell]  2 Mn 1.76

Crystal system: tetragonal
Volume: 67.05 Å³/cell
Calculated total energy: -5.62 eV per atom